[1]
# RbBa2C PBE-GGA optimized geometry
data_RbBa2C
_chemical_formula_sum 'Rb4 Ba8 C4'
_symmetry_space_group_name_H-M 'P 1'
_symmetry_Int_Tables_number 1
_cell_length_a 8.803
_cell_length_b 8.803
_cell_length_c 11.411
_cell_angle_alpha 90.00
_cell_angle_beta 90.00
_cell_angle_gamma 90.00
loop_
_symmetry_equiv_pos_as_xyz
'x,y,z'
loop_
_atom_site_label
_atom_site_type_symbol
_atom_site_fract_x
_atom_site_fract_y
_atom_site_fract_z
_atom_site_occupancy
Rb1 Rb 0.000 0.000 0.000 1
Rb2 Rb 0.000 0.500 0.250 1
Rb3 Rb 0.500 0.000 0.750 1
Rb4 Rb 0.500 0.500 0.500 1
Ba1 Ba 0.081 0.250 0.625 1
Ba2 Ba 0.250 0.581 0.875 1
Ba3 Ba 0.250 0.919 0.375 1
Ba4 Ba 0.419 0.250 0.125 1
Ba5 Ba 0.581 0.750 0.125 1
Ba6 Ba 0.750 0.081 0.375 1
Ba7 Ba 0.750 0.419 0.875 1
Ba8 Ba 0.919 0.750 0.625 1
C1 C 0.000 0.000 0.500 1
C2 C 0.000 0.500 0.750 1
C3 C 0.500 0.000 0.250 1
C4 C 0.500 0.500 0.000 1
# - DFT formation energy (meV per atom) = 673
# - total moment (μB per cell) = 3.07
# - total DFT energy (no corrections) (eV/atom) = -2.836
# - mass density (g/cm³) = 2.795

[2]
# Rb2BaRuC PBE-GGA optimized geometry
data_Rb2BaRuC
_chemical_formula_sum 'Rb2 Ba1 Ru1 C1'
_symmetry_space_group_name_H-M 'P 1'
_symmetry_Int_Tables_number 1
_cell_length_a 5.960
_cell_length_b 5.960
_cell_length_c 5.455
_cell_angle_alpha 90.00
_cell_angle_beta 90.00
_cell_angle_gamma 90.00
loop_
_symmetry_equiv_pos_as_xyz
'x,y,z'
loop_
_atom_site_label
_atom_site_type_symbol
_atom_site_fract_x
_atom_site_fract_y
_atom_site_fract_z
_atom_site_occupancy
Rb1 Rb 0.000 0.500 0.000 1
Rb2 Rb 0.500 0.000 0.000 1
Ba1 Ba 0.000 0.000 0.500 1
Ru1 Ru 0.500 0.500 0.500 1
C1 C 0.000 0.000 0.000 1
# - DFT formation energy (meV per atom) = 1540
# - total moment (μB per cell) = 3.42
# - total DFT energy (no corrections) (eV/atom) = -2.931
# - mass density (g/cm³) = 3.611

> Which of these has the lowest total moment?

RbBa2C

> Among the records above, which one has the highest DFT formation energy?

Rb2BaRuC

> Which formula does entry 1 have?

RbBa2C